i | The following is a DFT calculation (PBE-GGA) of an optimized crystal structure of LiDy3Ag2.

Properties
Spin magnetization = 0.00 Bohr magnetons per cell
Volume = 145.3 Å³ per cell

abc: 8.1456 8.1456 3.6679
angles: 90.00 90.00 143.33
Last column: nearest neighbours and their distance in Å.
Fractional coordinates of all 6 atoms:
Li (0.0000, 0.0000, 0.0000)  8 Dy 3.15-3.21
Dy (0.1706, 0.8294, 0.5000)  6 Ag 3.16-3.20, 2 Li 3.21
Dy (0.5000, 0.5000, 0.5000)  4 Ag 3.07, 4 Li 3.15
Dy (0.8294, 0.1706, 0.5000)  6 Ag 3.16-3.20, 2 Li 3.21
Ag (0.3405, 0.6595, 0.0000)  8 Dy 3.07-3.20
Ag (0.6595, 0.3405, 0.0000)  8 Dy 3.07-3.20

***

ii | The following is a DFT calculation (PBE-GGA) of an optimized crystal structure of LiDy3Ag2.

Properties
Spin magnetization = 0.00 Bohr magnetons per cell
Volume = 146.1 Å³ per cell

abc: 3.6494 3.6494 10.9724
angles: 90.00 90.00 90.00
Last column: nearest neighbours and their distance in Å.
Fractional coordinates of all 6 atoms:
Li (0.0000, 0.0000, 0.0000)  8 Dy 3.20
Dy (0.5000, 0.5000, 0.1722)  4 Ag 3.11, 4 Li 3.20
Dy (0.5000, 0.5000, 0.5000)  8 Ag 3.18
Dy (0.5000, 0.5000, 0.8278)  4 Ag 3.11, 4 Li 3.20
Ag (0.0000, 0.0000, 0.3305)  8 Dy 3.11-3.18
Ag (0.0000, 0.0000, 0.6695)  8 Dy 3.11-3.18

***

Tell me which of them is the most stable. Sure, it is i.